Record 1
First-principles (PBE-GGA) data for crystalline MgNiAg2Pt at its relaxed geometry, as listed in the Alexandria database.

Properties
ΔH_f (0 K) in eV/atom: 0.996

a = 4.681 Å, b = 4.681 Å, c = 4.367 Å
α = 90.00°, β = 90.00°, γ = 90.00°
Space group P4/mmm (No. 123)
Symmetry-distinct sites (fractional):
Mg 0.000 0.000 0.000 [1 per cell]
Ni 0.000 0.000 0.500 [1 per cell]
Ag 0.000 0.500 0.000 [2 per cell]
Pt 0.500 0.500 0.500 [1 per cell]

Record 2
First-principles (PBE-GGA) data for crystalline CsHIrPt2 at its relaxed geometry, as listed in the Alexandria database.

a = 4.002 Å, b = 4.002 Å, c = 5.188 Å
α = 90.00°, β = 90.00°, γ = 90.00°
Space group P4/mmm (No. 123)
Symmetry-distinct sites (fractional):
Cs 0.000 0.000 0.000 [1 per cell]
H 0.000 0.000 0.500 [1 per cell]
Ir 0.500 0.500 0.000 [1 per cell]
Pt 0.000 0.500 0.500 [2 per cell]

The records above give, respectively, E_tot values of -2.828; -4.024 eV/atom.
The records above give, respectively, V values of 19.132; 16.619 Å³/atom.